Density functional theory data (PBE) for crystalline CaReSb at its relaxed geometry.

a = 4.5770 Å, b = 4.5770 Å, c = 3.8607 Å
α = 90.00°, β = 90.00°, γ = 120.00°
Space group P-6m2 (No. 187)
One atom of each set of equivalent atoms:
1 Ca 0.0000 0.0000 0.0000 (multiplicity 1)
2 Re 0.6667 0.3333 0.5000 (multiplicity 1)
3 Sb 0.3333 0.6667 0.5000 (multiplicity 1)

For the calculated volume, the calculation gives 70 Å³ per cell. The calculation puts the density at 8.25 g cm⁻³. For the formation energy (no corrections), the calculation gives 0.270 eV per atom. For the energy above the most stable polymorph in this dataset, the calculation gives 144.4 meV/atom.